{"formula": "NbCdO3", "functional": "PBE", "state": "optimized geometry", "cell": [[3.073, 0.000, 0.000], [-1.536, 6.816, -1.104], [0.000, -0.813, 7.482]], "species": ["Nb", "Nb", "Cd", "Cd", "O", "O", "O", "O", "O", "O"], "fractional_positions": [[0.351, 0.702, 0.656], [0.649, 0.298, 0.344], [0.131, 0.262, 0.858], [0.869, 0.738, 0.142], [0.950, 0.899, 0.729], [0.050, 0.101, 0.271], [0.687, 0.373, 0.124], [0.313, 0.627, 0.876], [0.808, 0.617, 0.452], [0.192, 0.383, 0.548]], "sg": "C2/m (12)", "raw_formation_energy_ev_per_atom": -1.788}